# 1
An optimized crystal structure of SrLi2TaS, computed with PBE.

Unit cell a=4.7601 b=5.7762 c=4.7601 alpha=90.00 beta=90.00 gamma=90.00
Last column: magnetic moment on the atom in μB.
Element x y z (fractional)
Li 0.0000 0.0000 0.5000  0.03
Li 0.5000 0.0000 0.0000  0.02
Sr 0.0000 0.5000 0.0000  0.13
Ta 0.5000 0.5000 0.5000  2.22
S 0.0000 0.0000 0.0000  0.05

Properties
electronic total energy: -20.00 eV per cell
SG: P4/mmm
E_form (uncorrected): 1.49 eV/f.u.

# 2
An optimized crystal structure of Li2Pr3Au9, computed with PBE.

Unit cell a=4.1784 b=10.7856 c=8.8698 alpha=127.44 beta=103.62 gamma=90.00
Element x y z (fractional)
Au 0.6499 0.2792 0.2999
Au 0.3501 0.7208 0.7001
Au 0.8687 0.1677 0.7373
Au 0.1313 0.4303 0.2627
Au 0.0000 0.5000 0.0000
Au 0.8687 0.5697 0.7373
Au 0.6499 0.0206 0.2999
Au 0.3501 0.9794 0.7001
Au 0.1313 0.8323 0.2627
Pr 0.0000 0.0000 0.0000
Pr 0.7040 0.7040 0.4079
Pr 0.2960 0.2960 0.5921
Li 0.5000 0.6961 0.0000
Li 0.5000 0.3039 0.0000

Properties
electronic total energy: -56.41 eV per cell
SG: Immm